The following is a DFT calculation (SCAN) of TaInPO2 at its PBEsol-relaxed geometry.

The structure in CIF format:
```
data_TaInPO2
_cell_length_a 3.913
_cell_length_b 3.913
_cell_length_c 5.169
_cell_angle_alpha 90.00
_cell_angle_beta 90.00
_cell_angle_gamma 90.00
_symmetry_space_group_name_H-M 'P 1'
_symmetry_Int_Tables_number 1
loop_
_symmetry_equiv_pos_as_xyz
'x,y,z'
loop_
_atom_site_label
_atom_site_type_symbol
_atom_site_fract_x
_atom_site_fract_y
_atom_site_fract_z
Ta1 Ta 0.000 0.000 0.000
In1 In 0.500 0.500 0.500
P1 P 0.500 0.500 0.000
O1 O 0.000 0.500 0.500
O2 O 0.500 0.000 0.500
```

SG = P4/mmm (123)
Total moment = 0.844 μB per formula unit
N(E_F) = 3.43 states/eV per cell

---

The following is a DFT calculation (SCAN) of TiInPO2 at its PBEsol-relaxed geometry.

The structure in CIF format:
```
data_TiInPO2
_cell_length_a 3.783
_cell_length_b 3.783
_cell_length_c 5.189
_cell_angle_alpha 90.00
_cell_angle_beta 90.00
_cell_angle_gamma 90.00
_symmetry_space_group_name_H-M 'P 1'
_symmetry_Int_Tables_number 1
loop_
_symmetry_equiv_pos_as_xyz
'x,y,z'
loop_
_atom_site_label
_atom_site_type_symbol
_atom_site_fract_x
_atom_site_fract_y
_atom_site_fract_z
Ti1 Ti 0.000 0.000 0.000
In1 In 0.500 0.500 0.500
P1 P 0.000 0.000 0.500
O1 O 0.000 0.500 0.000
O2 O 0.500 0.000 0.000
```

SG = P4/mmm (123)
Total moment = 0.000 μB per formula unit
N(E_F) = 1.70 states/eV per cell

---

The following is a DFT calculation (SCAN) of ZnInPO2 at its PBEsol-relaxed geometry.

The structure in CIF format:
```
data_ZnInPO2
_cell_length_a 3.964
_cell_length_b 3.964
_cell_length_c 5.533
_cell_angle_alpha 90.00
_cell_angle_beta 90.00
_cell_angle_gamma 90.00
_symmetry_space_group_name_H-M 'P 1'
_symmetry_Int_Tables_number 1
loop_
_symmetry_equiv_pos_as_xyz
'x,y,z'
loop_
_atom_site_label
_atom_site_type_symbol
_atom_site_fract_x
_atom_site_fract_y
_atom_site_fract_z
Zn1 Zn 0.000 0.000 0.000
In1 In 0.500 0.500 0.500
P1 P 0.500 0.500 0.000
O1 O 0.000 0.500 0.500
O2 O 0.500 0.000 0.500
```

SG = P4/mmm (123)
Total moment = 1.789 μB per formula unit
N(E_F) = 3.19 states/eV per cell

---

The following is a DFT calculation (SCAN) of In3PbO at its PBEsol-relaxed geometry.

The structure in CIF format:
```
data_In3PbO
_cell_length_a 5.658
_cell_length_b 5.658
_cell_length_c 5.658
_cell_angle_alpha 90.00
_cell_angle_beta 90.00
_cell_angle_gamma 90.00
_symmetry_space_group_name_H-M 'P 1'
_symmetry_Int_Tables_number 1
loop_
_symmetry_equiv_pos_as_xyz
'x,y,z'
loop_
_atom_site_label
_atom_site_type_symbol
_atom_site_fract_x
_atom_site_fract_y
_atom_site_fract_z
In1 In 0.000 0.000 0.500
In2 In 0.000 0.500 0.000
In3 In 0.500 0.000 0.000
Pb1 Pb 0.000 0.000 0.000
O1 O 0.500 0.500 0.500
```

SG = Pm-3m (221)
Total moment = 0.327 μB per formula unit
N(E_F) = 6.68 states/eV per cell

---

The following is a DFT calculation (SCAN) of InRePbO2 at its PBEsol-relaxed geometry.

The structure in CIF format:
```
data_InRePbO2
_cell_length_a 3.918
_cell_length_b 3.918
_cell_length_c 5.846
_cell_angle_alpha 90.00
_cell_angle_beta 90.00
_cell_angle_gamma 90.00
_symmetry_space_group_name_H-M 'P 1'
_symmetry_Int_Tables_number 1
loop_
_symmetry_equiv_pos_as_xyz
'x,y,z'
loop_
_atom_site_label
_atom_site_type_symbol
_atom_site_fract_x
_atom_site_fract_y
_atom_site_fract_z
In1 In 0.000 0.000 0.000
Re1 Re 0.500 0.500 0.500
Pb1 Pb 0.500 0.500 0.000
O1 O 0.000 0.500 0.500
O2 O 0.500 0.000 0.500
```

SG = P4/mmm (123)
Total moment = 0.001 μB per formula unit
N(E_F) = 3.37 states/eV per cell

---

The following is a DFT calculation (SCAN) of In2Si2Pb2O9 at its PBEsol-relaxed geometry.

The structure in CIF format:
```
data_In2Si2Pb2O9
_cell_length_a 10.552
_cell_length_b 11.443
_cell_length_c 7.112
_cell_angle_alpha 90.00
_cell_angle_beta 90.00
_cell_angle_gamma 90.00
_symmetry_space_group_name_H-M 'P 1'
_symmetry_Int_Tables_number 1
loop_
_symmetry_equiv_pos_as_xyz
'x,y,z'
loop_
_atom_site_label
_atom_site_type_symbol
_atom_site_fract_x
_atom_site_fract_y
_atom_site_fract_z
In1 In 0.001 0.249 0.000
In2 In 0.249 0.912 0.517
In3 In 0.251 0.412 0.017
In4 In 0.499 0.749 0.500
In5 In 0.501 0.251 0.000
In6 In 0.749 0.588 0.517
In7 In 0.751 0.088 0.017
In8 In 0.999 0.751 0.500
Si1 Si 0.244 0.672 0.206
Si2 Si 0.249 0.660 0.780
Si3 Si 0.251 0.160 0.280
Si4 Si 0.256 0.172 0.706
Si5 Si 0.744 0.828 0.206
Si6 Si 0.749 0.840 0.780
Si7 Si 0.751 0.340 0.280
Si8 Si 0.756 0.328 0.706
Pb1 Pb 0.046 0.935 0.062
Pb2 Pb 0.048 0.450 0.567
Pb3 Pb 0.452 0.950 0.067
Pb4 Pb 0.454 0.435 0.562
Pb5 Pb 0.546 0.565 0.062
Pb6 Pb 0.548 0.050 0.567
Pb7 Pb 0.952 0.550 0.067
Pb8 Pb 0.954 0.065 0.562
O1 O 0.067 0.904 0.630
O2 O 0.069 0.411 0.898
O3 O 0.107 0.157 0.768
O4 O 0.109 0.633 0.686
O5 O 0.168 0.772 0.325
O6 O 0.170 0.544 0.208
O7 O 0.173 0.257 0.159
O8 O 0.174 0.037 0.306
O9 O 0.233 0.721 0.988
O10 O 0.267 0.221 0.488
O11 O 0.326 0.537 0.806
O12 O 0.327 0.757 0.659
O13 O 0.330 0.044 0.708
O14 O 0.332 0.272 0.825
O15 O 0.391 0.133 0.186
O16 O 0.393 0.657 0.268
O17 O 0.431 0.911 0.398
O18 O 0.433 0.404 0.130
O19 O 0.567 0.596 0.630
O20 O 0.569 0.089 0.898
O21 O 0.607 0.343 0.768
O22 O 0.609 0.867 0.686
O23 O 0.668 0.728 0.325
O24 O 0.670 0.956 0.208
O25 O 0.673 0.243 0.159
O26 O 0.674 0.463 0.306
O27 O 0.733 0.779 0.988
O28 O 0.767 0.279 0.488
O29 O 0.826 0.963 0.806
O30 O 0.827 0.743 0.659
O31 O 0.830 0.456 0.708
O32 O 0.832 0.228 0.825
O33 O 0.891 0.367 0.186
O34 O 0.893 0.843 0.268
O35 O 0.931 0.589 0.398
O36 O 0.933 0.096 0.130
```

SG = Pna2_1 (33)
Total moment = 0.000 μB per formula unit
N(E_F) = 0.00 states/eV per cell

---

Number 1: formation energy without anion corrections 0.1618 eV per atom. Number 2: formation energy without anion corrections -1.6043 eV per atom. Number 3: formation energy without anion corrections 0.0575 eV per atom. Number 4: formation energy without anion corrections 0.8849 eV per atom. Number 5: formation energy without anion corrections -0.5006 eV per atom. Number 6: formation energy without anion corrections -2.1749 eV per atom.